Record 1
## ThInGa (PBE)

Data for a relaxed ThInGa crystal.

Its calculated density is 8.1 Mg/m³. For the energy above the most stable polymorph in this dataset, the calculation gives 310.8 meV per atom. As for the crystal system: orthorhombic. The calculation puts the energy relative to the elements at -0.09 eV per atom.

The space group is Pmmm (No. 47) and the conventional cell measures 3.914, 4.436 and 4.904 Å, with angles of 90.00, 90.00 and 90.00 degrees. The asymmetric unit holds Th at (0.000, 0.000, 0.000), In at (0.000, 0.500, 0.500) and Ga at (0.500, 0.000, 0.500).

---

Record 2
## Th2InGa2 (PBE)

Data for a relaxed Th2InGa2 crystal.

Its calculated density is 9.5 Mg/m³. As for the crystal system: tetragonal. The calculation puts the energy relative to the elements at -0.52 eV per atom.

The space group is P4/mbm (No. 127) and the conventional cell measures 7.443, 7.443 and 4.518 Å, with angles of 90.00, 90.00 and 90.00 degrees. The asymmetric unit holds Th at (0.175, 0.325, 0.000), In at (0.000, 0.000, 0.500) and Ga at (0.123, 0.623, 0.500).

---

Record 3
## Th7In2Ga2 (PBE)

Data for a relaxed Th7In2Ga2 crystal.

Its calculated density is 9.6 Mg/m³. As for the crystal system: orthorhombic. The calculation puts the energy relative to the elements at 0.02 eV per atom.

The space group is Cmmm (No. 65) and the conventional cell measures 8.482, 11.218 and 7.225 Å, with angles of 90.00, 90.00 and 90.00 degrees. The asymmetric unit holds Th at (0.000, 0.000, 0.000), Th at (0.000, 0.500, 0.253), Th at (0.250, 0.250, 0.277), In at (0.166, 0.000, 0.500) and Ga at (0.000, 0.275, 0.000).

---

Record 4
## Th2InGa (PBE)

Data for a relaxed Th2InGa crystal.

Its calculated density is 10.1 Mg/m³. For the energy above the most stable polymorph in this dataset, the calculation gives 0.0 meV per atom. As for the crystal system: tetragonal. The calculation puts the energy relative to the elements at -0.36 eV per atom.

The space group is P4/mmm (No. 123) and the conventional cell measures 3.465, 3.465 and 8.923 Å, with angles of 90.00, 90.00 and 90.00 degrees. The asymmetric unit holds Th at (0.000, 0.000, 0.231), In at (0.500, 0.500, 0.500) and Ga at (0.500, 0.500, 0.000).

---

Record 5
## Th2InGa (PBE)

Data for a relaxed Th2InGa crystal.

Its calculated density is 9.8 Mg/m³. For the energy above the most stable polymorph in this dataset, the calculation gives 111.8 meV per atom. As for the crystal system: cubic. The calculation puts the energy relative to the elements at -0.25 eV per atom.

The space group is Fm-3m (No. 225) and the conventional cell measures 7.597, 7.597 and 7.597 Å, with angles of 90.00, 90.00 and 90.00 degrees. The asymmetric unit holds Th at (0.250, 0.250, 0.250), In at (0.000, 0.000, 0.000) and Ga at (0.000, 0.000, 0.500).

---

Record 6
## ThInGa (PBE)

Data for a relaxed ThInGa crystal.

Its calculated density is 9.1 Mg/m³. For the energy above the most stable polymorph in this dataset, the calculation gives 52.9 meV per atom. As for the crystal system: orthorhombic. The calculation puts the energy relative to the elements at -0.35 eV per atom.

The space group is Cmcm (No. 63) and the conventional cell measures 5.696, 8.451 and 6.289 Å, with angles of 90.00, 90.00 and 90.00 degrees. The asymmetric unit holds Th at (0.000, 0.154, 0.250), In at (0.000, 0.500, 0.000) and Ga at (0.000, 0.203, 0.750).

---

Record 7
## Th4In5Ga2 (PBE)

Data for a relaxed Th4In5Ga2 crystal.

Its calculated density is 9.3 Mg/m³. As for the crystal system: monoclinic. The calculation puts the energy relative to the elements at -0.35 eV per atom.

The space group is P2/m (No. 10) and the conventional cell measures 8.166, 3.515 and 10.234 Å, with angles of 90.00, 94.63 and 90.00 degrees. The asymmetric unit holds Th at (0.166, 0.000, 0.371), Th at (0.264, 0.000, 0.946), In at (0.194, 0.500, 0.660), In at (0.444, 0.500, 0.203), In at (0.500, 0.500, 0.500) and Ga at (0.054, 0.500, 0.128).

---

Record 8
## ThInGa (PBE)

Data for a relaxed ThInGa crystal.

Its calculated density is 9.2 Mg/m³. For the energy above the most stable polymorph in this dataset, the calculation gives 178.7 meV per atom. As for the crystal system: tetragonal. The calculation puts the energy relative to the elements at -0.23 eV per atom.

The space group is I4mm (No. 107) and the conventional cell measures 3.586, 3.586 and 11.724 Å, with angles of 90.00, 90.00 and 90.00 degrees. The asymmetric unit holds Th at (0.000, 0.000, 0.000), In at (0.000, 0.000, 0.303) and Ga at (0.000, 0.000, 0.670).

---

Record 9
## Th2InGa (PBE)

Data for a relaxed Th2InGa crystal.

Its calculated density is 10.0 Mg/m³. For the energy above the most stable polymorph in this dataset, the calculation gives 32.6 meV per atom. As for the crystal system: tetragonal. The calculation puts the energy relative to the elements at -0.33 eV per atom.

The space group is P4/mmm (No. 123) and the conventional cell measures 4.903, 4.903 and 4.466 Å, with angles of 90.00, 90.00 and 90.00 degrees. The asymmetric unit holds Th at (0.000, 0.500, 0.000), In at (0.000, 0.000, 0.500) and Ga at (0.500, 0.500, 0.500).

---

Record 10
## ThInGa (PBE)

Data for a relaxed ThInGa crystal.

Its calculated density is 9.1 Mg/m³. For the energy above the most stable polymorph in this dataset, the calculation gives 0.0 meV per atom. As for the crystal system: trigonal. The calculation puts the energy relative to the elements at -0.40 eV per atom.

The space group is P3m1 (No. 156) and the conventional cell measures 4.5108, 4.5108 and 4.3296 Å, with angles of 90.00, 90.00 and 120.00 degrees. The asymmetric unit holds Th at (0.0000, 0.0000, 0.0000), In at (0.3333, 0.6667, 0.5426) and Ga at (0.6667, 0.3333, 0.4022).

---

Record 11
## YThInGa (PBE)

Data for a relaxed YThInGa crystal.

Its calculated density is 8.0 Mg/m³. As for the crystal system: cubic. The calculation puts the energy relative to the elements at -0.37 eV per atom.

The space group is F-43m (No. 216) and the conventional cell measures 7.500, 7.500 and 7.500 Å, with angles of 90.00, 90.00 and 90.00 degrees. The asymmetric unit holds Y at (0.000, 0.000, 0.000), Th at (0.000, 0.000, 0.500), In at (0.250, 0.250, 0.750) and Ga at (0.250, 0.250, 0.250).

---

Record 12
## Ti6InGa5 (PBE)

Data for a relaxed Ti6InGa5 crystal.

Its calculated density is 6.1 Mg/m³. As for the crystal system: monoclinic. The calculation puts the energy relative to the elements at -0.22 eV per atom.

The space group is C2/m (No. 12) and the conventional cell measures 9.162, 8.624 and 5.262 Å, with angles of 90.00, 98.15 and 90.00 degrees. The asymmetric unit holds Ti at (0.246, 0.171, 0.245), Ti at (0.247, 0.000, 0.771), In at (0.000, 0.500, 0.500), Ga at (0.000, 0.000, 0.000), Ga at (0.000, 0.159, 0.500) and Ga at (0.000, 0.328, 0.000).

---

Record 13
## Ti4InGa (PBE)

Data for a relaxed Ti4InGa crystal.

Its calculated density is 6.0 Mg/m³. For the energy above the most stable polymorph in this dataset, the calculation gives 0.0 meV per atom. As for the crystal system: monoclinic. The calculation puts the energy relative to the elements at -0.23 eV per atom.

The space group is C2/m (No. 12) and the conventional cell measures 9.891, 3.055 and 7.461 Å, with angles of 90.00, 112.01 and 90.00 degrees. The asymmetric unit holds Ti at (0.165, 0.000, 0.344), Ti at (0.169, 0.000, 0.822), In at (0.000, 0.500, 0.000) and Ga at (0.000, 0.500, 0.500).

---

Record 14
## TiInGa3 (PBE)

Data for a relaxed TiInGa3 crystal.

Its calculated density is 4.7 Mg/m³. For the energy above the most stable polymorph in this dataset, the calculation gives 0.0 meV per atom. As for the crystal system: cubic. The calculation puts the energy relative to the elements at 0.37 eV per atom.

The space group is Pm-3m (No. 221) and the conventional cell measures 5.067, 5.067 and 5.067 Å, with angles of 90.00, 90.00 and 90.00 degrees. The asymmetric unit holds Ti at (0.000, 0.000, 0.000), In at (0.500, 0.500, 0.500) and Ga at (0.000, 0.000, 0.500).

---

Record 15
## Ti5InGa4 (PBE)

Data for a relaxed Ti5InGa4 crystal.

Its calculated density is 6.4 Mg/m³. As for the crystal system: tetragonal. The calculation puts the energy relative to the elements at -0.40 eV per atom.

The space group is P4/mmm (No. 123) and the conventional cell measures 2.863, 2.863 and 20.012 Å, with angles of 90.00, 90.00 and 90.00 degrees. The asymmetric unit holds Ti at (0.000, 0.000, 0.000), Ti at (0.000, 0.000, 0.195), Ti at (0.000, 0.000, 0.386), In at (0.500, 0.500, 0.500), Ga at (0.500, 0.500, 0.097) and Ga at (0.500, 0.500, 0.291).

---

Record 16
## TiInGa2 (PBE)

Data for a relaxed TiInGa2 crystal.

Its calculated density is 7.0 Mg/m³. As for the crystal system: tetragonal. The calculation puts the energy relative to the elements at -0.16 eV per atom.

The space group is P4/mmm (No. 123) and the conventional cell measures 4.202, 4.202 and 4.054 Å, with angles of 90.00, 90.00 and 90.00 degrees. The asymmetric unit holds Ti at (0.000, 0.000, 0.000), In at (0.500, 0.500, 0.000) and Ga at (0.000, 0.500, 0.500).

---

Record 17
## Ti12In6Ga (PBE)

Data for a relaxed Ti12In6Ga crystal.

Its calculated density is 6.2 Mg/m³. As for the crystal system: trigonal. The calculation puts the energy relative to the elements at -0.02 eV per atom.

The space group is R-3 (No. 148, hexagonal axes) and the conventional cell measures 10.1665, 10.1665 and 11.9473 Å, with angles of 90.00, 90.00 and 120.00 degrees. The asymmetric unit holds Ti at (0.0495, 0.8717, 0.3048), Ti at (0.0599, 0.1980, 0.9078), In at (0.0258, 0.5933, 0.2155) and Ga at (0.0000, 0.0000, 0.5000).

---

Record 18
## Ti12InGa6 (PBE)

Data for a relaxed Ti12InGa6 crystal.

Its calculated density is 5.8 Mg/m³. As for the crystal system: trigonal. The calculation puts the energy relative to the elements at -0.28 eV per atom.

The space group is R-3 (No. 148, hexagonal axes) and the conventional cell measures 12.4554, 12.4554 and 7.0610 Å, with angles of 90.00, 90.00 and 120.00 degrees. The asymmetric unit holds Ti at (0.0066, 0.8701, 0.1626), Ti at (0.0609, 0.4903, 0.1660), In at (0.0000, 0.0000, 0.5000) and Ga at (0.0292, 0.7574, 0.8376).

---

Record 19
## Ti4InGa2 (PBE)

Data for a relaxed Ti4InGa2 crystal.

Its calculated density is 5.9 Mg/m³. As for the crystal system: monoclinic. The calculation puts the energy relative to the elements at -0.13 eV per atom.

The space group is P2_1/m (No. 11) and the conventional cell measures 7.076, 5.551 and 7.205 Å, with angles of 90.00, 118.08 and 90.00 degrees. The asymmetric unit holds Ti at (0.046, 0.250, 0.022), Ti at (0.140, 0.750, 0.405), Ti at (0.419, 0.003, 0.278), In at (0.261, 0.750, 0.842), Ga at (0.203, 0.250, 0.453) and Ga at (0.304, 0.250, 0.858).

---

Record 20
## TiIn3Ga (PBE)

Data for a relaxed TiIn3Ga crystal.

Its calculated density is 5.5 Mg/m³. For the energy above the most stable polymorph in this dataset, the calculation gives 280.2 meV per atom. As for the crystal system: cubic. The calculation puts the energy relative to the elements at 0.77 eV per atom.

The space group is Pm-3m (No. 221) and the conventional cell measures 5.180, 5.180 and 5.180 Å, with angles of 90.00, 90.00 and 90.00 degrees. The asymmetric unit holds Ti at (0.000, 0.000, 0.000), In at (0.000, 0.500, 0.500) and Ga at (0.500, 0.500, 0.500).

---

Record 21
## Ti5InGa (PBE)

Data for a relaxed Ti5InGa crystal.

Its calculated density is 5.5 Mg/m³. As for the crystal system: monoclinic. The calculation puts the energy relative to the elements at 0.03 eV per atom.

The space group is C2/c (No. 15) and the conventional cell measures 12.512, 5.474 and 9.441 Å, with angles of 90.00, 127.69 and 90.00 degrees. The asymmetric unit holds Ti at (0.000, 0.014, 0.250), Ti at (0.069, 0.222, 0.556), Ti at (0.198, 0.237, 0.125), In at (0.000, 0.482, 0.750) and Ga at (0.250, 0.250, 0.500).

---

Record 22
## Ti6InGa2 (PBE)

Data for a relaxed Ti6InGa2 crystal.

Its calculated density is 5.8 Mg/m³. For the energy above the most stable polymorph in this dataset, the calculation gives 0.0 meV per atom. As for the crystal system: tetragonal. The calculation puts the energy relative to the elements at -0.25 eV per atom.

The space group is P4_2/mnm (No. 136) and the conventional cell measures 8.791, 8.791 and 3.989 Å, with angles of 90.00, 90.00 and 90.00 degrees. The asymmetric unit holds Ti at (0.012, 0.338, 0.000), Ti at (0.170, 0.170, 0.500), In at (0.000, 0.000, 0.000) and Ga at (0.173, 0.827, 0.500).

---

Record 23
## Ti4InGa (PBE)

Data for a relaxed Ti4InGa crystal.

Its calculated density is 5.6 Mg/m³. For the energy above the most stable polymorph in this dataset, the calculation gives 301.1 meV per atom. As for the crystal system: monoclinic. The calculation puts the energy relative to the elements at 0.07 eV per atom.

The space group is C2/c (No. 15) and the conventional cell measures 14.660, 5.435 and 5.649 Å, with angles of 90.00, 96.10 and 90.00 degrees. The asymmetric unit holds Ti at (0.079, 0.093, 0.413), Ti at (0.166, 0.348, 0.078), In at (0.000, 0.411, 0.750) and Ga at (0.250, 0.250, 0.500).

---

Number 1: total energy -13.5 eV per cell. Number 2: total energy -52.4 eV per cell. Number 3: total energy -126.4 eV per cell. Number 4: total energy -22.0 eV per cell. Number 5: total energy -86.4 eV per cell. Number 6: total energy -57.0 eV per cell. Number 7: total energy -53.2 eV per cell. Number 8: total energy -27.7 eV per cell. Number 9: total energy -21.9 eV per cell. Number 10: total energy -14.4 eV per cell. Number 11: total energy -84.5 eV per cell. Number 12: total energy -135.8 eV per cell. Number 13: total energy -77.5 eV per cell. Number 14: total energy -17.9 eV per cell. Number 15: total energy -58.3 eV per cell. Number 16: total energy -17.3 eV per cell. Number 17: total energy -344.0 eV per cell. Number 18: total energy -362.8 eV per cell. Number 19: total energy -82.6 eV per cell. Number 20: total energy -15.3 eV per cell. Number 21: total energy -180.0 eV per cell. Number 22: total energy -116.9 eV per cell. Number 23: total energy -147.7 eV per cell.